BaAl2Si2 | PBE | relaxed

Space group = No. 127
M_tot = 0.0 μB/f.u.
DFT total energy = -3.96 eV per atom
Formation energy (no corrections) = 0.4 eV per formula unit

a b c (Å): 8.029 8.029 3.350
angles (deg): 90.00 90.00 90.00
Positions (direct):
Si: 0.649 0.851 0.500
Si: 0.851 0.351 0.500
Al: 0.881 0.619 0.000
Si: 0.149 0.649 0.500
Al: 0.119 0.381 0.000
Al: 0.619 0.119 0.000
Ba: 0.500 0.500 0.000
Al: 0.381 0.881 0.000
Si: 0.351 0.149 0.500
Ba: 0.000 0.000 0.000

Pm2Ga6Ir | PBE | relaxed

Space group = No. 225
M_tot = 0.0 μB/f.u.
DFT total energy = -4.70 eV per atom
Formation energy = -0.645 eV per atom
Excess energy over the best structure of this formula in the dataset = 0.000 eV per atom

a b c (Å): 6.274 6.274 6.274
angles (deg): 60.00 60.00 60.00
Positions (direct):
Ga: 0.716 0.284 0.716
Ga: 0.284 0.716 0.716
Pm: 0.750 0.750 0.750
Ga: 0.284 0.716 0.284
Pm: 0.250 0.250 0.250
Ga: 0.716 0.284 0.284
Ga: 0.284 0.284 0.716
Ga: 0.716 0.716 0.284
Ir: 0.000 0.000 0.000

KIn4Ni | PBE | relaxed

Space group = No. 216
M_tot = 0.0 μB/f.u.
DFT total energy = -2.62 eV per atom
Formation energy = 0.348 eV per atom
Excess energy over the best structure of this formula in the dataset = 0.453 eV per atom

a b c (Å): 6.125 6.125 6.125
angles (deg): 60.00 60.00 60.00
Positions (direct):
In: 0.374 0.374 0.877
In: 0.374 0.877 0.374
In: 0.877 0.374 0.374
K: 0.750 0.750 0.750
Ni: 0.000 0.000 0.000
In: 0.374 0.374 0.374

TlCuOsBr6 | PBE | relaxed

Space group = No. 149
M_tot = 2.1 μB/f.u.
DFT total energy = -3.37 eV per atom
Formation energy (no corrections) = -2.6 eV per formula unit

a b c (Å): 6.751 6.751 7.336
angles (deg): 90.01 89.99 59.99
Positions (direct):
Br: 0.015 0.627 0.694
Os: 0.333 0.333 0.500
Br: 0.626 0.015 0.306
Br: 0.358 0.626 0.306
Br: 0.015 0.358 0.306
Cu: 0.667 0.667 0.500
Br: 0.358 0.015 0.694
Tl: 0.000 0.000 0.000
Br: 0.626 0.358 0.694

PuZnGe | PBE | relaxed

Space group = No. 216
M_tot = 6.0 μB/f.u.
DFT total energy = -6.89 eV per atom
Formation energy = -0.151 eV per atom

a b c (Å): 4.611 4.611 4.611
angles (deg): 60.00 60.00 60.00
Positions (direct):
Zn: 0.500 0.500 0.500
Pu: 0.000 0.000 0.000
Ge: 0.250 0.250 0.250

MgSi2Os | PBE | relaxed

Space group = No. 1
M_tot = 0.0 μB/f.u.
DFT total energy = -6.17 eV per atom
Formation energy (no corrections) = -1.0 eV per formula unit

a b c (Å): 4.277 5.181 6.453
angles (deg): 100.76 98.89 106.53
Positions (direct):
Si: 0.584 0.634 0.885
Os: 0.548 0.690 0.518
Si: 0.775 0.943 0.263
Mg: 0.793 0.237 0.695
Si: 0.947 0.474 0.353
Os: 0.156 0.703 0.075
Si: 0.137 0.817 0.716
Mg: 0.331 0.248 0.129

Ho8GaNi2 | PBE | relaxed

Space group = No. 12
M_tot = 0.0 μB/f.u.
DFT total energy = -4.93 eV per atom
Formation energy = -0.271 eV per atom
Excess energy over the best structure of this formula in the dataset = 0.000 eV per atom

a b c (Å): 4.999 6.716 9.040
angles (deg): 107.24 106.05 90.00
Positions (direct):
Ho: 0.964 0.217 0.928
Ho: 0.036 0.783 0.072
Ni: 0.821 0.285 0.641
Ho: 0.802 0.668 0.603
Ga: 0.500 0.000 0.000
Ho: 0.323 0.011 0.646
Ho: 0.677 0.989 0.354
Ho: 0.405 0.529 0.810
Ni: 0.179 0.715 0.359
Ho: 0.595 0.471 0.190
Ho: 0.198 0.332 0.397

CaAgIO2 | PBE | relaxed

Space group = No. 123
M_tot = 0.4 μB/f.u.
DFT total energy = -3.64 eV per atom
Formation energy (no corrections) = -1.9 eV per formula unit
Excess energy over the best structure of this formula in the dataset = 0.083 eV per atom

a b c (Å): 4.364 4.364 5.353
angles (deg): 90.00 90.00 90.00
Positions (direct):
I: 0.000 0.000 0.500
Ag: 0.000 0.000 0.000
O: 0.000 0.500 0.000
O: 0.500 0.000 0.000
Ca: 0.500 0.500 0.500

Ca3Ac2TcN6 | PBE | relaxed

Space group = No. 12
M_tot = 0.7 μB/f.u.
DFT total energy = -6.89 eV per atom
Formation energy (no corrections) = -8.1 eV per formula unit

a b c (Å): 6.298 6.298 5.985
angles (deg): 99.09 99.09 121.63
Positions (direct):
Ac: 0.668 0.332 0.000
Ca: 0.855 0.145 0.500
N: 0.344 0.073 0.219
N: 0.656 0.927 0.781
N: 0.927 0.656 0.781
Ca: 0.500 0.500 0.500
Ac: 0.332 0.668 0.000
Tc: 0.000 0.000 0.000
Ca: 0.145 0.855 0.500
N: 0.226 0.226 0.775
N: 0.774 0.774 0.225
N: 0.073 0.344 0.219

Sr2BeZn2 | PBE | relaxed

Space group = No. 127
M_tot = 0.0 μB/f.u.
DFT total energy = -1.75 eV per atom
Formation energy = 0.179 eV per atom

a b c (Å): 7.263 7.263 4.913
angles (deg): 90.00 90.00 90.00
Positions (direct):
Zn: 0.625 0.125 0.000
Be: 0.500 0.500 0.000
Sr: 0.687 0.813 0.500
Zn: 0.875 0.625 0.000
Sr: 0.813 0.313 0.500
Zn: 0.375 0.875 0.000
Be: 0.000 0.000 0.000
Sr: 0.313 0.187 0.500
Zn: 0.125 0.375 0.000
Sr: 0.187 0.687 0.500

HoGa5Tc2 | PBE | relaxed

Space group = No. 71
M_tot = 0.0 μB/f.u.
DFT total energy = -5.28 eV per atom
Formation energy = -0.225 eV per atom

a b c (Å): 3.507 6.713 6.713
angles (deg): 73.43 74.86 74.86
Positions (direct):
Ga: 0.000 0.500 0.500
Ho: 0.000 0.000 0.000
Ga: 0.648 0.139 0.564
Ga: 0.352 0.436 0.861
Tc: 0.242 0.258 0.258
Ga: 0.352 0.861 0.436
Ga: 0.648 0.564 0.139
Tc: 0.758 0.742 0.742

ZrURu2 | PBE | relaxed

Space group = No. 123
M_tot = 1.8 μB/f.u.
DFT total energy = -9.96 eV per atom
Formation energy = -0.358 eV per atom

a b c (Å): 3.228 3.228 7.038
angles (deg): 90.00 90.00 90.00
Positions (direct):
Ru: 0.000 0.000 0.240
Zr: 0.500 0.500 0.000
U: 0.500 0.500 0.500
Ru: 0.000 0.000 0.760